(1)
Compound: HfPaCo
Source: OQMD
Functional: PBE
Structure: relaxed

Geometry as CIF:
```
data_HfPaCo
_chemical_formula_sum 'Hf1 Pa1 Co1'
_space_group_name_H-M_alt 'P 1'
_space_group_IT_number 1
_cell_length_a 4.451
_cell_length_b 4.451
_cell_length_c 4.451
_cell_angle_alpha 60.00
_cell_angle_beta 60.00
_cell_angle_gamma 60.00
loop_
_space_group_symop_operation_xyz
'x,y,z'
loop_
_atom_site_label
_atom_site_type_symbol
_atom_site_fract_x
_atom_site_fract_y
_atom_site_fract_z
_atom_site_occupancy
Hf1 Hf 0.000 0.000 0.000 1
Pa1 Pa 0.750 0.750 0.750 1
Co1 Co 0.500 0.500 0.500 1
```

Results
Calculated formation energy ... 0.81 eV per atom
Crystal system ... cubic
M_tot ... 0.1 Bohr magnetons per cell
VASP energy ... -24.1 eV/cell

(2)
Compound: BeAlGaPt
Source: OQMD
Functional: PBE
Structure: relaxed

Geometry as CIF:
```
data_BeAlGaPt
_chemical_formula_sum 'Be1 Al1 Ga1 Pt1'
_space_group_name_H-M_alt 'P 1'
_space_group_IT_number 1
_cell_length_a 4.278
_cell_length_b 4.278
_cell_length_c 4.278
_cell_angle_alpha 60.00
_cell_angle_beta 60.00
_cell_angle_gamma 60.00
loop_
_space_group_symop_operation_xyz
'x,y,z'
loop_
_atom_site_label
_atom_site_type_symbol
_atom_site_fract_x
_atom_site_fract_y
_atom_site_fract_z
_atom_site_occupancy
Be1 Be 0.000 0.000 0.000 1
Al1 Al 0.500 0.500 0.500 1
Ga1 Ga 0.750 0.750 0.750 1
Pt1 Pt 0.250 0.250 0.250 1
```

Results
Crystal system ... cubic
M_tot ... 0.0 Bohr magnetons per cell
VASP energy ... -17.4 eV/cell

(3)
Compound: TbCu2Pb2
Source: OQMD
Functional: PBE
Structure: relaxed

Geometry as CIF:
```
data_TbCu2Pb2
_chemical_formula_sum 'Tb1 Cu2 Pb2'
_space_group_name_H-M_alt 'P 1'
_space_group_IT_number 1
_cell_length_a 6.392
_cell_length_b 6.392
_cell_length_c 6.392
_cell_angle_alpha 138.84
_cell_angle_beta 138.84
_cell_angle_gamma 59.62
loop_
_space_group_symop_operation_xyz
'x,y,z'
loop_
_atom_site_label
_atom_site_type_symbol
_atom_site_fract_x
_atom_site_fract_y
_atom_site_fract_z
_atom_site_occupancy
Tb1 Tb 0.000 0.000 0.000 1
Cu1 Cu 0.396 0.396 0.000 1
Cu2 Cu 0.604 0.604 0.000 1
Pb1 Pb 0.250 0.750 0.500 1
Pb2 Pb 0.750 0.250 0.500 1
```

Results
Crystal system ... tetragonal
M_tot ... 0.0 Bohr magnetons per cell
VASP energy ... -19.7 eV/cell

(4)
Compound: LiAgPbSe3
Source: OQMD
Functional: PBE
Structure: relaxed

Geometry as CIF:
```
data_LiAgPbSe3
_chemical_formula_sum 'Li2 Ag2 Pb2 Se6'
_space_group_name_H-M_alt 'P 1'
_space_group_IT_number 1
_cell_length_a 6.480
_cell_length_b 6.480
_cell_length_c 11.590
_cell_angle_alpha 90.00
_cell_angle_beta 90.00
_cell_angle_gamma 144.27
loop_
_space_group_symop_operation_xyz
'x,y,z'
loop_
_atom_site_label
_atom_site_type_symbol
_atom_site_fract_x
_atom_site_fract_y
_atom_site_fract_z
_atom_site_occupancy
Li1 Li 0.241 0.759 0.750 1
Li2 Li 0.759 0.241 0.250 1
Ag1 Ag 0.464 0.536 0.250 1
Ag2 Ag 0.536 0.464 0.750 1
Pb1 Pb 0.000 0.000 0.000 1
Pb2 Pb 0.000 0.000 0.500 1
Se1 Se 0.103 0.897 0.250 1
Se2 Se 0.330 0.670 0.074 1
Se3 Se 0.330 0.670 0.426 1
Se4 Se 0.670 0.330 0.574 1
Se5 Se 0.670 0.330 0.926 1
Se6 Se 0.897 0.103 0.750 1
```

Results
Crystal system ... orthorhombic
VASP energy ... -41.5 eV/cell

(5)
Compound: Be2TePt2
Source: OQMD
Functional: PBE
Structure: relaxed

Geometry as CIF:
```
data_Be2TePt2
_chemical_formula_sum 'Be2 Te1 Pt2'
_space_group_name_H-M_alt 'P 1'
_space_group_IT_number 1
_cell_length_a 6.686
_cell_length_b 6.686
_cell_length_c 6.686
_cell_angle_alpha 149.56
_cell_angle_beta 149.56
_cell_angle_gamma 43.59
loop_
_space_group_symop_operation_xyz
'x,y,z'
loop_
_atom_site_label
_atom_site_type_symbol
_atom_site_fract_x
_atom_site_fract_y
_atom_site_fract_z
_atom_site_occupancy
Be1 Be 0.250 0.750 0.500 1
Be2 Be 0.750 0.250 0.500 1
Te1 Te 0.000 0.000 0.000 1
Pt1 Pt 0.374 0.374 0.000 1
Pt2 Pt 0.626 0.626 0.000 1
```

Results
Crystal system ... tetragonal
M_tot ... 0.0 Bohr magnetons per cell
VASP energy ... -24.3 eV/cell

(6)
Compound: TmAgP2Se6
Source: OQMD
Functional: PBE
Structure: relaxed

Geometry as CIF:
```
data_TmAgP2Se6
_chemical_formula_sum 'Tm2 Ag2 P4 Se12'
_space_group_name_H-M_alt 'P 1'
_space_group_IT_number 1
_cell_length_a 6.629
_cell_length_b 6.629
_cell_length_c 14.234
_cell_angle_alpha 90.00
_cell_angle_beta 90.00
_cell_angle_gamma 120.00
loop_
_space_group_symop_operation_xyz
'x,y,z'
loop_
_atom_site_label
_atom_site_type_symbol
_atom_site_fract_x
_atom_site_fract_y
_atom_site_fract_z
_atom_site_occupancy
Tm1 Tm 0.000 0.000 0.250 1
Tm2 Tm 0.000 0.000 0.750 1
Ag1 Ag 0.333 0.667 0.250 1
Ag2 Ag 0.667 0.333 0.750 1
P1 P 0.333 0.667 0.670 1
P2 P 0.333 0.667 0.830 1
P3 P 0.667 0.333 0.170 1
P4 P 0.667 0.333 0.330 1
Se1 Se 0.022 0.341 0.623 1
Se2 Se 0.022 0.680 0.877 1
Se3 Se 0.320 0.341 0.877 1
Se4 Se 0.320 0.978 0.623 1
Se5 Se 0.341 0.022 0.123 1
Se6 Se 0.341 0.320 0.377 1
Se7 Se 0.659 0.680 0.623 1
Se8 Se 0.659 0.978 0.877 1
Se9 Se 0.680 0.022 0.377 1
Se10 Se 0.680 0.659 0.123 1
Se11 Se 0.978 0.320 0.123 1
Se12 Se 0.978 0.659 0.377 1
```

Results
Crystal system ... trigonal
M_tot ... 0.0 Bohr magnetons per cell
VASP energy ... -89.1 eV/cell

(7)
Compound: BeCd2B
Source: OQMD
Functional: PBE
Structure: relaxed

Geometry as CIF:
```
data_BeCd2B
_chemical_formula_sum 'Be1 Cd2 B1'
_space_group_name_H-M_alt 'P 1'
_space_group_IT_number 1
_cell_length_a 4.478
_cell_length_b 4.478
_cell_length_c 4.478
_cell_angle_alpha 60.00
_cell_angle_beta 60.00
_cell_angle_gamma 60.00
loop_
_space_group_symop_operation_xyz
'x,y,z'
loop_
_atom_site_label
_atom_site_type_symbol
_atom_site_fract_x
_atom_site_fract_y
_atom_site_fract_z
_atom_site_occupancy
Be1 Be 0.000 0.000 0.000 1
Cd1 Cd 0.250 0.250 0.250 1
Cd2 Cd 0.500 0.500 0.500 1
B1 B 0.750 0.750 0.750 1
```

Results
Crystal system ... cubic
VASP energy ... -7.6 eV/cell

(8)
Compound: Li2Mg3GaPd2
Source: OQMD
Functional: PBE
Structure: relaxed

Geometry as CIF:
```
data_Li2Mg3GaPd2
_chemical_formula_sum 'Li2 Mg3 Ga1 Pd2'
_space_group_name_H-M_alt 'P 1'
_space_group_IT_number 1
_cell_length_a 4.494
_cell_length_b 4.494
_cell_length_c 6.364
_cell_angle_alpha 90.00
_cell_angle_beta 90.00
_cell_angle_gamma 90.00
loop_
_space_group_symop_operation_xyz
'x,y,z'
loop_
_atom_site_label
_atom_site_type_symbol
_atom_site_fract_x
_atom_site_fract_y
_atom_site_fract_z
_atom_site_occupancy
Li1 Li 0.000 0.500 0.236 1
Li2 Li 0.500 0.000 0.764 1
Mg1 Mg 0.000 0.000 0.000 1
Mg2 Mg 0.000 0.000 0.500 1
Mg3 Mg 0.500 0.500 0.500 1
Ga1 Ga 0.500 0.500 0.000 1
Pd1 Pd 0.000 0.500 0.761 1
Pd2 Pd 0.500 0.000 0.239 1
```

Results
Crystal system ... tetragonal
VASP energy ... -26.0 eV/cell

(9)
Compound: LiHg3GeSe4
Source: OQMD
Functional: PBE
Structure: relaxed

Geometry as CIF:
```
data_LiHg3GeSe4
_chemical_formula_sum 'Li2 Hg6 Ge2 Se8'
_space_group_name_H-M_alt 'P 1'
_space_group_IT_number 1
_cell_length_a 5.973
_cell_length_b 7.917
_cell_length_c 10.625
_cell_angle_alpha 90.00
_cell_angle_beta 94.51
_cell_angle_gamma 90.00
loop_
_space_group_symop_operation_xyz
'x,y,z'
loop_
_atom_site_label
_atom_site_type_symbol
_atom_site_fract_x
_atom_site_fract_y
_atom_site_fract_z
_atom_site_occupancy
Li1 Li 0.195 0.250 0.217 1
Li2 Li 0.805 0.750 0.783 1
Hg1 Hg 0.297 0.011 0.575 1
Hg2 Hg 0.297 0.489 0.575 1
Hg3 Hg 0.321 0.250 0.944 1
Hg4 Hg 0.679 0.750 0.056 1
Hg5 Hg 0.703 0.511 0.425 1
Hg6 Hg 0.703 0.989 0.425 1
Ge1 Ge 0.175 0.750 0.223 1
Ge2 Ge 0.825 0.250 0.777 1
Se1 Se 0.034 0.250 0.438 1
Se2 Se 0.083 0.750 0.987 1
Se3 Se 0.466 0.515 0.199 1
Se4 Se 0.466 0.985 0.199 1
Se5 Se 0.534 0.015 0.801 1
Se6 Se 0.534 0.485 0.801 1
Se7 Se 0.917 0.250 0.013 1
Se8 Se 0.966 0.750 0.562 1
```

Results
Crystal system ... monoclinic
VASP energy ... -46.5 eV/cell

(10)
Compound: GdDy2NiSn3Pt2
Source: OQMD
Functional: PBE
Structure: relaxed

Geometry as CIF:
```
data_GdDy2NiSn3Pt2
_chemical_formula_sum 'Gd1 Dy2 Ni1 Sn3 Pt2'
_space_group_name_H-M_alt 'P 1'
_space_group_IT_number 1
_cell_length_a 3.931
_cell_length_b 7.522
_cell_length_c 7.522
_cell_angle_alpha 120.09
_cell_angle_beta 90.00
_cell_angle_gamma 90.00
loop_
_space_group_symop_operation_xyz
'x,y,z'
loop_
_atom_site_label
_atom_site_type_symbol
_atom_site_fract_x
_atom_site_fract_y
_atom_site_fract_z
_atom_site_occupancy
Gd1 Gd 0.000 0.000 0.000 1
Dy1 Dy 0.000 0.406 0.812 1
Dy2 Dy 0.000 0.812 0.406 1
Ni1 Ni 0.000 0.407 0.407 1
Sn1 Sn 0.500 0.159 0.407 1
Sn2 Sn 0.500 0.407 0.159 1
Sn3 Sn 0.500 0.654 0.654 1
Pt1 Pt 0.500 0.074 0.738 1
Pt2 Pt 0.500 0.738 0.074 1
```

Results
Crystal system ... orthorhombic
M_tot ... 0.0 Bohr magnetons per cell
VASP energy ... -52.4 eV/cell

(11)
Compound: Ba2Tm
Source: OQMD
Functional: PBE
Structure: relaxed

Geometry as CIF:
```
data_Ba2Tm
_chemical_formula_sum 'Ba4 Tm2'
_space_group_name_H-M_alt 'P 1'
_space_group_IT_number 1
_cell_length_a 7.406
_cell_length_b 7.406
_cell_length_c 7.406
_cell_angle_alpha 60.00
_cell_angle_beta 60.00
_cell_angle_gamma 60.00
loop_
_space_group_symop_operation_xyz
'x,y,z'
loop_
_atom_site_label
_atom_site_type_symbol
_atom_site_fract_x
_atom_site_fract_y
_atom_site_fract_z
_atom_site_occupancy
Ba1 Ba 0.000 0.000 0.000 1
Ba2 Ba 0.000 0.000 0.500 1
Ba3 Ba 0.000 0.500 0.000 1
Ba4 Ba 0.500 0.000 0.000 1
Tm1 Tm 0.375 0.375 0.375 1
Tm2 Tm 0.625 0.625 0.625 1
```

Results
Crystal system ... cubic
M_tot ... 0.0 Bohr magnetons per cell
VASP energy ... -13.2 eV/cell

(12)
Compound: ZnCuMoIr
Source: OQMD
Functional: PBE
Structure: relaxed

Geometry as CIF:
```
data_ZnCuMoIr
_chemical_formula_sum 'Zn1 Cu1 Mo1 Ir1'
_space_group_name_H-M_alt 'P 1'
_space_group_IT_number 1
_cell_length_a 4.269
_cell_length_b 4.269
_cell_length_c 4.269
_cell_angle_alpha 60.00
_cell_angle_beta 60.00
_cell_angle_gamma 60.00
loop_
_space_group_symop_operation_xyz
'x,y,z'
loop_
_atom_site_label
_atom_site_type_symbol
_atom_site_fract_x
_atom_site_fract_y
_atom_site_fract_z
_atom_site_occupancy
Zn1 Zn 0.000 0.000 0.000 1
Cu1 Cu 0.500 0.500 0.500 1
Mo1 Mo 0.250 0.250 0.250 1
Ir1 Ir 0.750 0.750 0.750 1
```

Results
Calculated formation energy ... 0.19 eV per atom
Crystal system ... cubic
M_tot ... 0.1 Bohr magnetons per cell
VASP energy ... -23.9 eV/cell